A plane-wave DFT calculation with GGA-PBE was carried out for a geometry-optimized Li2CaSn structure.

Values from the calculation:
size of the total moment = 0.00 μB per atom
formation energy = -0.1804 eV per atom

Unit cell a=4.5948 b=4.5948 c=10.5983 alpha=77.48 beta=77.48 gamma=90.00
Positions (direct):
Sn (0.0000, 0.0000, 0.0000)
Sn (0.7500, 0.2500, 0.5000)
Ca (0.2500, 0.7500, 0.5000)
Ca (0.5000, 0.5000, 0.0000)
Li (0.8750, 0.9804, 0.7500)
Li (0.0196, 0.6250, 0.2500)
Li (0.7304, 0.1250, 0.2500)
Li (0.3750, 0.2696, 0.7500)